{"formula": "TlCSBr2", "functional": "PBE", "state": "relaxed", "lattice_angstrom": [[4.282, 0.000, 0.000], [0.000, 4.282, 0.000], [0.000, 0.000, 8.022]], "species": ["Tl", "C", "S", "Br", "Br"], "frac_coords": [[0.000, 0.000, 0.000], [0.000, 0.000, 0.500], [0.500, 0.500, 0.000], [0.000, 0.500, 0.500], [0.500, 0.000, 0.500]], "magnetic_moment_mub_per_cell": 0.00, "sg": "P4/mmm", "formation_energy_uncorrected_ev_per_atom": 1.0782, "dos_at_fermi_per_ev_cell": 2.8}

{"formula": "Y6C3S2Br", "functional": "PBE", "state": "relaxed", "lattice_angstrom": [[8.446, -1.863, 0.000], [8.446, 1.863, 0.000], [-2.295, 0.000, 7.473]], "species": ["Y", "Y", "Y", "Y", "Y", "Y", "C", "C", "C", "S", "S", "Br"], "frac_coords": [[0.011, 0.011, 0.213], [0.319, 0.319, 0.437], [0.340, 0.340, 0.897], [0.660, 0.660, 0.103], [0.681, 0.681, 0.563], [0.989, 0.989, 0.787], [0.167, 0.167, 0.333], [0.500, 0.500, 0.000], [0.833, 0.833, 0.667], [0.164, 0.164, 0.828], [0.836, 0.836, 0.172], [0.500, 0.500, 0.500]], "magnetic_moment_mub_per_cell": 0.00, "sg": "C2/m", "formation_energy_uncorrected_ev_per_atom": -1.1820, "dos_at_fermi_per_ev_cell": 2.5}

{"formula": "Zn2CSBr", "functional": "PBE", "state": "relaxed", "lattice_angstrom": [[3.960, 0.000, 0.000], [0.000, 3.960, 0.000], [0.000, 0.000, 5.595]], "species": ["Zn", "Zn", "C", "S", "Br"], "frac_coords": [[0.000, 0.500, 0.000], [0.500, 0.000, 0.000], [0.000, 0.000, 0.000], [0.500, 0.500, 0.500], [0.000, 0.000, 0.500]], "magnetic_moment_mub_per_cell": 0.00, "sg": "P4/mmm", "formation_energy_uncorrected_ev_per_atom": 0.7527, "dos_at_fermi_per_ev_cell": 1.9}

{"formula": "SbC3Br", "functional": "PBE", "state": "relaxed", "lattice_angstrom": [[4.374, 0.000, 0.000], [0.000, 4.374, 0.000], [0.000, 0.000, 4.374]], "species": ["Sb", "C", "C", "C", "Br"], "frac_coords": [[0.000, 0.000, 0.000], [0.000, 0.000, 0.500], [0.000, 0.500, 0.000], [0.500, 0.000, 0.000], [0.500, 0.500, 0.500]], "e_above_lowest_polymorph_kj_per_mol_fu": 0, "magnetic_moment_mub_per_cell": 2.65, "sg": "Pm-3m", "formation_energy_uncorrected_ev_per_atom": 3.0126, "dos_at_fermi_per_ev_cell": 3.1}

{"formula": "Sb3CBr", "functional": "PBE", "state": "relaxed", "lattice_angstrom": [[5.515, 0.000, 0.000], [0.000, 5.515, 0.000], [0.000, 0.000, 5.515]], "species": ["Sb", "Sb", "Sb", "C", "Br"], "frac_coords": [[0.000, 0.000, 0.500], [0.000, 0.500, 0.000], [0.500, 0.000, 0.000], [0.500, 0.500, 0.500], [0.000, 0.000, 0.000]], "e_above_lowest_polymorph_kj_per_mol_fu": 637, "magnetic_moment_mub_per_cell": 0.73, "sg": "Pm-3m", "formation_energy_uncorrected_ev_per_atom": 2.3165, "dos_at_fermi_per_ev_cell": 10.0}

{"formula": "SbC3Br", "functional": "PBE", "state": "relaxed", "lattice_angstrom": [[4.115, 0.000, 0.000], [0.000, 4.115, 0.000], [0.000, 0.000, 4.115]], "species": ["Sb", "C", "C", "C", "Br"], "frac_coords": [[0.000, 0.000, 0.000], [0.000, 0.500, 0.500], [0.500, 0.000, 0.500], [0.500, 0.500, 0.000], [0.500, 0.500, 0.500]], "e_above_lowest_polymorph_kj_per_mol_fu": 138, "magnetic_moment_mub_per_cell": 0.00, "sg": "Pm-3m", "formation_energy_uncorrected_ev_per_atom": 3.2986, "dos_at_fermi_per_ev_cell": 3.8}

{"formula": "Sb2CBr", "functional": "PBE", "state": "relaxed", "lattice_angstrom": [[0.000, 3.476, 3.476], [3.476, 0.000, 3.476], [3.476, 3.476, 0.000]], "species": ["Sb", "Sb", "C", "Br"], "frac_coords": [[0.250, 0.250, 0.250], [0.750, 0.750, 0.750], [0.000, 0.000, 0.000], [0.500, 0.500, 0.500]], "e_above_lowest_polymorph_kj_per_mol_fu": 269, "magnetic_moment_mub_per_cell": 0.00, "sg": "Fm-3m", "formation_energy_uncorrected_ev_per_atom": 1.4848, "dos_at_fermi_per_ev_cell": 1.3}

{"formula": "Sb2CBr", "functional": "PBE", "state": "relaxed", "lattice_angstrom": [[-3.623, 3.623, 3.571], [3.623, -3.623, 3.571], [3.623, 3.623, -3.571]], "species": ["Sb", "Sb", "Sb", "Sb", "C", "C", "Br", "Br"], "frac_coords": [[0.026, 0.625, 0.901], [0.375, 0.276, 0.401], [0.724, 0.125, 0.099], [0.875, 0.974, 0.599], [0.000, 0.000, 0.000], [0.750, 0.250, 0.500], [0.250, 0.750, 0.500], [0.500, 0.500, 0.000]], "e_above_lowest_polymorph_kj_per_mol_fu": 0, "magnetic_moment_mub_per_cell": 0.00, "sg": "I-42d", "formation_energy_uncorrected_ev_per_atom": 0.7868, "dos_at_fermi_per_ev_cell": 5.3}

{"formula": "Sb3CBr", "functional": "PBE", "state": "relaxed", "lattice_angstrom": [[4.920, 0.000, 0.000], [0.000, 4.920, 0.000], [0.000, 0.000, 4.920]], "species": ["Sb", "Sb", "Sb", "C", "Br"], "frac_coords": [[0.000, 0.000, 0.500], [0.000, 0.500, 0.000], [0.500, 0.000, 0.000], [0.000, 0.000, 0.000], [0.500, 0.500, 0.500]], "e_above_lowest_polymorph_kj_per_mol_fu": 0, "magnetic_moment_mub_per_cell": 0.00, "sg": "Pm-3m", "formation_energy_uncorrected_ev_per_atom": 0.9954, "dos_at_fermi_per_ev_cell": 5.3}

{"formula": "SbCBr3", "functional": "PBE", "state": "relaxed", "lattice_angstrom": [[5.589, 0.000, 0.000], [0.000, 5.589, 0.000], [0.000, 0.000, 5.589]], "species": ["Sb", "C", "Br", "Br", "Br"], "frac_coords": [[0.000, 0.000, 0.000], [0.500, 0.500, 0.500], [0.000, 0.000, 0.500], [0.000, 0.500, 0.000], [0.500, 0.000, 0.000]], "e_above_lowest_polymorph_kj_per_mol_fu": 62, "magnetic_moment_mub_per_cell": 1.96, "sg": "Pm-3m", "formation_energy_uncorrected_ev_per_atom": 1.1715, "dos_at_fermi_per_ev_cell": 9.9}

{"formula": "SbCBr3", "functional": "PBE", "state": "relaxed", "lattice_angstrom": [[4.790, 0.000, 0.000], [0.000, 4.790, 0.000], [0.000, 0.000, 4.790]], "species": ["Sb", "C", "Br", "Br", "Br"], "frac_coords": [[0.000, 0.000, 0.000], [0.500, 0.500, 0.500], [0.000, 0.500, 0.500], [0.500, 0.000, 0.500], [0.500, 0.500, 0.000]], "e_above_lowest_polymorph_kj_per_mol_fu": 0, "magnetic_moment_mub_per_cell": 0.00, "sg": "Pm-3m", "formation_energy_uncorrected_ev_per_atom": 1.0423, "dos_at_fermi_per_ev_cell": 2.6}

{"formula": "SbCSe2Br", "functional": "PBE", "state": "relaxed", "lattice_angstrom": [[4.550, 0.000, 0.000], [0.000, 4.550, 0.000], [0.000, 0.000, 4.695]], "species": ["Sb", "C", "Se", "Se", "Br"], "frac_coords": [[0.000, 0.000, 0.000], [0.500, 0.500, 0.500], [0.000, 0.500, 0.500], [0.500, 0.000, 0.500], [0.500, 0.500, 0.000]], "e_above_lowest_polymorph_kj_per_mol_fu": 0, "magnetic_moment_mub_per_cell": 0.00, "sg": "P4/mmm", "formation_energy_uncorrected_ev_per_atom": 0.9843, "dos_at_fermi_per_ev_cell": 2.4}